[1]
DFT (GGA-PBE) results for a geometry-optimized AcCeSi3 structure.

Properties
Polymorph energy (0 for the lowest one) ... 74 meV per atom
Total energy ... -5.79 eV per atom
DOS at the Fermi energy ... 23.2 states/eV/cell
Crystal system ... orthorhombic
Raw formation energy ... -51.0 kJ/mol of atoms
Calculated volume ... 495.1 Å³/cell

abc: 8.3767 13.5611 4.3580
angles: 90.00 90.00 90.00
Space group Cmmm (No. 65)
Asymmetric unit:
Ac1 0.0000 0.0000 0.0000 [2 per cell]
Ac2 0.0000 0.5000 0.0000 [2 per cell]
Ce1 0.2500 0.2500 0.0000 [4 per cell]
Si1 0.0000 0.1872 0.5000 [4 per cell]
Si2 0.2470 0.0913 0.5000 [8 per cell]

---

[2]
DFT (GGA-PBE) results for a geometry-optimized Si4HgAs structure.

Properties
Total energy ... -3.80 eV per atom
DOS at the Fermi energy ... 17.7 states/eV/cell
Crystal system ... cubic
Raw formation energy ... 61.6 kJ/mol of atoms
Calculated volume ... 424.9 Å³/cell

abc: 7.5182 7.5182 7.5182
angles: 90.00 90.00 90.00
Space group F-43m (No. 216)
Asymmetric unit:
Si1 0.1251 0.1251 0.1251 [16 per cell]
Hg1 0.0000 0.0000 0.5000 [4 per cell]
As1 0.2500 0.2500 0.7500 [4 per cell]